(1)
A relaxed CsK2TlSe crystal, computed with PBE.

## Properties
Its final energy is -11.1 eV/cell. The calculation puts the formation energy without anion corrections at -0.43 eV per atom.

abc: 6.3022 6.3022 7.0347
angles: 90.00 90.00 90.00
Last column: nearest neighbours and their distance in Å.
Atoms (fractional coordinates):
Cs1 0.0000 0.0000 0.0000  2 Se 3.52
K1 0.0000 0.5000 0.5000  2 Se 3.15
K2 0.5000 0.0000 0.5000  2 Se 3.15
Tl1 0.5000 0.5000 0.0000  4 Cs 4.46, 8 K 4.72
Se1 0.0000 0.0000 0.5000  4 K 3.15, 2 Cs 3.52

---

(2)
A relaxed LiPbAu3 crystal, computed with PBE.

## Properties
Its energy relative to the lowest polymorph listed for this composition is 0.133 eV/atom. Its final energy is -15.2 eV/cell. The value obtained for the formation energy is 0.052 eV/atom.

abc: 4.7047 4.7047 4.7047
angles: 90.00 90.00 90.00
Last column: nearest neighbours and their distance in Å.
Atoms (fractional coordinates):
Li1 0.0000 0.0000 0.0000  6 Au 2.35
Pb1 0.5000 0.5000 0.5000  12 Au 3.33
Au1 0.0000 0.0000 0.5000  2 Li 2.35
Au2 0.0000 0.5000 0.0000  2 Li 2.35
Au3 0.5000 0.0000 0.0000  2 Li 2.35

---

(3)
A relaxed Sm6Hg5Bi crystal, computed with PBE.

## Properties
Its final energy is -39.9 eV/cell. The value obtained for the formation energy is -0.517 eV/atom.

abc: 9.3672 9.3672 5.4115
angles: 106.73 106.73 47.81
Last column: nearest neighbours and their distance in Å.
Atoms (fractional coordinates):
Sm1 0.0802 0.5831 0.3317  7 Hg 3.18-3.32, 1 Bi 3.34
Sm2 0.2462 0.7538 0.0000  6 Hg 3.29-3.42, 2 Bi 3.32
Sm3 0.4169 0.9198 0.6683  7 Hg 3.18-3.32, 1 Bi 3.34
Sm4 0.5831 0.0802 0.3317  7 Hg 3.18-3.32, 1 Bi 3.34
Sm5 0.7538 0.2462 0.0000  6 Hg 3.29-3.42, 2 Bi 3.32
Sm6 0.9198 0.4169 0.6683  7 Hg 3.18-3.32, 1 Bi 3.34
Hg1 0.0000 0.0000 0.5000  8 Sm 3.29-3.32
Hg2 0.1662 0.1662 0.1659  8 Sm 3.29-3.30
Hg3 0.3259 0.3259 0.8257  8 Sm 3.18-3.42
Hg4 0.6741 0.6741 0.1743  8 Sm 3.18-3.42
Hg5 0.8338 0.8338 0.8341  8 Sm 3.29-3.30
Bi1 0.5000 0.5000 0.5000  8 Sm 3.32-3.34

---

(4)
A relaxed SnB2AsOs crystal, computed with PBE.

## Properties
Its final energy is -25.2 eV/cell. The value obtained for the formation energy is 1.598 eV/atom.

abc: 4.0506 4.0506 5.0266
angles: 90.00 90.00 90.00
Last column: nearest neighbours and their distance in Å.
Atoms (fractional coordinates):
Sn1 0.0000 0.0000 0.0000  4 Os 2.86
B1 0.0000 0.5000 0.5000  2 As 2.03
B2 0.5000 0.0000 0.5000  2 As 2.03
As1 0.5000 0.5000 0.5000  4 B 2.03
Os1 0.5000 0.5000 0.0000  2 As 2.51

---

(5)
A relaxed FeAsSe2S crystal, computed with PBE.

## Properties
Its energy relative to the lowest polymorph listed for this composition is 0.000 eV/atom. Its final energy is -21.4 eV/cell. The calculation puts the formation energy without anion corrections at 0.56 eV per atom.

abc: 4.5884 4.5884 4.7397
angles: 90.00 90.00 90.00
Last column: nearest neighbours and their distance in Å.
Atoms (fractional coordinates):
Fe1 0.0000 0.0000 0.0000  4 Se 2.29, 2 As 2.37
As1 0.0000 0.0000 0.5000  2 Fe 2.37
Se1 0.0000 0.5000 0.0000  2 Fe 2.29
Se2 0.5000 0.0000 0.0000  2 Fe 2.29
S1 0.5000 0.5000 0.5000  4 As 3.24, 8 Se 3.30

---

(6)
A relaxed Pu4PtBr5 crystal, computed with PBE.

## Properties
Its final energy is -83.4 eV/cell. The calculation puts the formation energy without anion corrections at -1.16 eV per atom.

abc: 9.5545 9.5545 8.6945
angles: 104.31 104.31 24.49
Last column: nearest neighbours and their distance in Å.
Atoms (fractional coordinates):
Pu1 0.0008 0.0008 0.2288  2 Pt 2.84, 4 Br 3.03-3.14
Pu2 0.3405 0.3405 0.9110  1 Pt 2.88, 5 Br 2.98-3.05
Pu3 0.6595 0.6595 0.0890  1 Pt 2.88, 5 Br 2.98-3.05
Pu4 0.9992 0.9992 0.7712  2 Pt 2.84, 4 Br 3.03-3.14
Pt1 0.5000 0.5000 0.0000  6 Pu 2.84-2.88
Br1 0.1682 0.1682 0.3443  3 Pu 2.98-3.03
Br2 0.1722 0.1722 0.8368  4 Pu 3.04-3.14
Br3 0.5000 0.5000 0.5000  4 Pu 3.11
Br4 0.8278 0.8278 0.1632  4 Pu 3.04-3.14
Br5 0.8318 0.8318 0.6557  3 Pu 2.98-3.03

---

(7)
A relaxed Ba3Cu crystal, computed with PBE.

## Properties
Its final energy is -34.9 eV/cell. The value obtained for the formation energy is 0.283 eV/atom.

abc: 8.0345 8.0345 12.5958
angles: 90.00 90.00 120.00
Last column: nearest neighbours and their distance in Å.
Atoms (fractional coordinates):
Ba1 0.0000 0.5000 0.0000  4 Cu 3.91-4.02, 8 Ba 3.95-4.02
Ba2 0.0000 0.5000 0.5000  4 Cu 3.91-4.02, 8 Ba 3.95-4.02
Ba3 0.1571 0.3143 0.2500  6 Ba 3.79-3.95, 4 Cu 3.83-4.02
Ba4 0.1571 0.8429 0.2500  6 Ba 3.79-3.95, 4 Cu 3.83-4.02
Ba5 0.3143 0.1571 0.7500  6 Ba 3.79-3.95, 4 Cu 3.83-4.02
Ba6 0.5000 0.0000 0.0000  4 Cu 3.91-4.02, 8 Ba 3.95-4.02
Ba7 0.5000 0.0000 0.5000  4 Cu 3.91-4.02, 8 Ba 3.95-4.02
Ba8 0.5000 0.5000 0.0000  4 Cu 3.91-4.02, 8 Ba 3.95-4.02
Ba9 0.5000 0.5000 0.5000  4 Cu 3.91-4.02, 8 Ba 3.95-4.02
Ba10 0.6857 0.8429 0.2500  6 Ba 3.79-3.95, 4 Cu 3.83-4.02
Ba11 0.8429 0.1571 0.7500  6 Ba 3.79-3.95, 4 Cu 3.83-4.02
Ba12 0.8429 0.6857 0.7500  6 Ba 3.79-3.95, 4 Cu 3.83-4.02
Cu1 0.0000 0.0000 0.0000  12 Ba 3.83-4.02
Cu2 0.0000 0.0000 0.5000  12 Ba 3.83-4.02
Cu3 0.3333 0.6667 0.7500  12 Ba 3.91-4.02
Cu4 0.6667 0.3333 0.2500  12 Ba 3.91-4.02

---

(8)
A relaxed AgRuRh2 crystal, computed with PBE.

## Properties
Its energy relative to the lowest polymorph listed for this composition is 0.162 eV/atom. Its final energy is -25.7 eV/cell. The value obtained for the formation energy is 0.288 eV/atom.

abc: 4.7661 4.7661 4.8365
angles: 99.32 99.32 33.37
Last column: nearest neighbours and their distance in Å.
Atoms (fractional coordinates):
Ag1 0.0000 0.0000 0.0000  2 Ag 2.74, 6 Rh 2.75-2.82, 4 Ru 2.78
Ru1 0.5000 0.5000 0.5000  6 Rh 2.70-2.77, 2 Ru 2.74, 4 Ag 2.78
Rh1 0.2439 0.2439 0.7362  6 Rh 2.68-2.88, 3 Ru 2.70-2.77, 3 Ag 2.75-2.82
Rh2 0.7561 0.7561 0.2638  6 Rh 2.68-2.88, 3 Ru 2.70-2.77, 3 Ag 2.75-2.82

---

(9)
A relaxed Nb2AlFeH crystal, computed with PBE.

## Properties
Its final energy is -36.6 eV/cell.

abc: 4.1271 4.1271 3.8506
angles: 90.00 90.00 90.00
Last column: nearest neighbours and their distance in Å.
Atoms (fractional coordinates):
Nb1 0.0000 0.5000 0.0000  2 H 2.06
Nb2 0.5000 0.0000 0.0000  2 H 2.06
Al1 0.0000 0.0000 0.5000  8 Nb 2.82, 4 Fe 2.92
Fe1 0.5000 0.5000 0.5000  2 H 1.93
H1 0.5000 0.5000 0.0000  2 Fe 1.93, 4 Nb 2.06

---

(10)
A relaxed LiSi2Ni crystal, computed with PBE.

## Properties
Its energy relative to the lowest polymorph listed for this composition is 0.232 eV/atom. Its final energy is -19.0 eV/cell. The calculation puts the formation energy without anion corrections at -0.12 eV per atom.

abc: 5.1239 5.1239 5.1239
angles: 150.55 126.12 62.60
Last column: nearest neighbours and their distance in Å.
Atoms (fractional coordinates):
Li1 0.0000 0.0000 0.0000  2 Li 2.61, 4 Ni 2.66, 4 Si 2.78
Si1 0.2810 0.7810 0.5000  2 Ni 2.32
Si2 0.7190 0.2190 0.5000  2 Ni 2.32
Ni1 0.5000 0.5000 0.0000  4 Si 2.32

---

(11)
A relaxed EuDyPdRu crystal, computed with PBE.

## Properties
Its final energy is -30.8 eV/cell. The value obtained for the formation energy is -0.353 eV/atom.

abc: 4.9345 4.9345 4.9345
angles: 60.00 60.00 60.00
Last column: nearest neighbours and their distance in Å.
Atoms (fractional coordinates):
Eu1 0.0000 0.0000 0.0000  4 Ru 3.02, 4 Pd 3.02
Dy1 0.5000 0.5000 0.5000  4 Ru 3.02, 4 Pd 3.02
Pd1 0.7500 0.7500 0.7500  4 Dy 3.02, 4 Eu 3.02
Ru1 0.2500 0.2500 0.2500  4 Dy 3.02, 4 Eu 3.02

---

(12)
A relaxed Cr3TePb crystal, computed with PBE.

## Properties
Its energy relative to the lowest polymorph listed for this composition is 0.000 eV/atom. Its final energy is -29.8 eV/cell. The calculation puts the formation energy without anion corrections at 1.19 eV per atom.

abc: 5.1929 5.1929 5.1929
angles: 90.00 90.00 90.00
Last column: nearest neighbours and their distance in Å.
Atoms (fractional coordinates):
Cr1 0.0000 0.0000 0.5000  2 Pb 2.60
Cr2 0.0000 0.5000 0.0000  2 Pb 2.60
Cr3 0.5000 0.0000 0.0000  2 Pb 2.60
Te1 0.5000 0.5000 0.5000  12 Cr 3.67
Pb1 0.0000 0.0000 0.0000  6 Cr 2.60